(1)
Computed, not measured: a relaxed structure of Tb2Al4HgPt3 at the GGA-PBE level of DFT.

Cell: 4.268 4.268 10.628 Å, 90.00 90.00 90.00°
Positions (direct):
Tb (0.500, 0.000, 0.238)
Al (0.000, 0.500, 0.359)
Hg (0.500, 0.500, 0.500)
Al (0.500, 0.500, 0.000)
Al (0.000, 0.000, 0.000)
Pt (0.000, 0.000, 0.500)
Pt (0.500, 0.000, 0.870)
Pt (0.000, 0.500, 0.130)
Tb (0.000, 0.500, 0.762)
Al (0.500, 0.000, 0.641)

Calculated values
- energy of formation (eV per atom) = -0.915
- symmetry = No. 115
- total moment (μB/atom) = 0.000
- volume (Å³/f.u.) = 193.6

=====

(2)
Computed, not measured: a relaxed structure of Ho5TlSn2 at the GGA-PBE level of DFT.

Cell: 6.828 6.828 6.712 Å, 120.57 120.57 90.00°
Positions (direct):
Ho (0.222, 0.722, 0.944)
Sn (0.222, 0.722, 0.444)
Ho (0.722, 0.722, 0.444)
Ho (0.722, 0.222, 0.944)
Tl (0.222, 0.222, 0.444)
Sn (0.722, 0.222, 0.444)
Ho (0.722, 0.722, 0.944)
Ho (0.223, 0.223, 0.944)

Calculated values
- energy of formation (eV per atom) = -0.406
- symmetry = No. 139
- total moment (μB/atom) = 0.000
- volume (Å³/f.u.) = 217.4

=====

(3)
Computed, not measured: a relaxed structure of Zr5Re4 at the GGA-PBE level of DFT.

Cell: 8.224 8.224 5.846 Å, 90.00 90.00 60.00°
Positions (direct):
Zr (0.333, 0.333, 0.500)
Zr (0.284, 0.000, 0.750)
Zr (0.667, 0.667, 0.500)
Re (0.000, 0.627, 0.250)
Re (0.373, 0.000, 0.250)
Re (0.000, 0.000, 0.000)
Zr (0.667, 0.667, 0.000)
Zr (0.000, 0.716, 0.750)
Zr (0.716, 0.000, 0.250)
Re (0.373, 0.627, 0.750)
Re (0.627, 0.373, 0.250)
Zr (0.284, 0.716, 0.250)
Re (0.000, 0.000, 0.500)
Zr (0.000, 0.284, 0.250)
Re (0.627, 0.000, 0.750)
Zr (0.333, 0.333, 0.000)
Zr (0.716, 0.284, 0.750)
Re (0.000, 0.373, 0.750)

Calculated values
- energy of formation (eV per atom) = 0.088
- symmetry = No. 193
- total moment (μB/atom) = 0.000
- polymorph energy (0 for the lowest one) (eV/f.u.) = 0.55
- volume (Å³/f.u.) = 171.2

=====

(4)
Computed, not measured: a relaxed structure of Ba4GaAuBr2 at the GGA-PBE level of DFT.

Cell: 4.668 8.250 8.897 Å, 107.56 90.00 90.00°
Positions (direct):
Ba (0.000, 0.747, 0.232)
Ba (0.500, 0.247, 0.225)
Ga (0.500, 0.500, 0.000)
Br (0.000, 0.500, 0.500)
Ba (0.000, 0.253, 0.768)
Au (0.000, 0.000, 0.000)
Ba (0.500, 0.753, 0.775)
Br (0.500, 0.000, 0.500)

Calculated values
- symmetry = No. 10
- formation energy (no corrections) (eV/atom) = -1.0705
- total moment (μB/atom) = 0.000
- volume (Å³/f.u.) = 326.6

=====

(5)
Computed, not measured: a relaxed structure of RbTlPN2 at the GGA-PBE level of DFT.

Cell: 4.828 5.382 4.828 Å, 90.00 90.00 90.00°
Each line ends with the local moment (μB).
Positions (direct):
P (0.000, 0.500, 0.000)  0.61
Tl (0.000, 0.000, 0.000)  -0.03
Rb (0.500, 0.500, 0.500)  0.03
N (0.000, 0.000, 0.500)  1.15
N (0.500, 0.000, 0.000)  1.26

Calculated values
- symmetry = No. 123
- formation energy (no corrections) (eV/atom) = 1.6376
- total moment (μB/atom) = 0.999
- volume (Å³/f.u.) = 125.5

=====

(6)
Computed, not measured: a relaxed structure of Tl2InP at the GGA-PBE level of DFT.

Cell: 5.661 5.661 5.661 Å, 129.32 129.32 74.49°
Positions (direct):
P (0.750, 0.250, 0.500)
Tl (0.000, 0.000, 0.000)
In (0.500, 0.500, 0.000)
Tl (0.250, 0.750, 0.500)

Calculated values
- energy of formation (eV per atom) = 0.253
- symmetry = No. 119
- total moment (μB/atom) = 0.000
- polymorph energy (0 for the lowest one) (eV/f.u.) = 0.59
- volume (Å³/f.u.) = 105.8

=====

(7)
Computed, not measured: a relaxed structure of Nd2GaSiNi6 at the GGA-PBE level of DFT.

Cell: 6.238 6.242 6.247 Å, 59.95 59.98 89.97°
Positions (direct):
Ga (0.500, 0.500, 0.000)
Ni (0.757, 0.757, 0.000)
Nd (0.250, 0.750, 0.500)
Si (0.000, 0.000, 0.000)
Ni (0.243, 0.243, 0.000)
Ni (0.757, 0.757, 0.487)
Ni (0.243, 0.243, 0.513)
Ni (0.244, 0.757, 0.000)
Ni (0.756, 0.243, 0.000)
Nd (0.750, 0.250, 0.500)

Calculated values
- symmetry = No. 12
- formation energy (no corrections) (eV/atom) = -0.1500
- total moment (μB/atom) = 0.000
- volume (Å³/f.u.) = 171.9

=====

(8)
Computed, not measured: a relaxed structure of AcPuHf2O8 at the GGA-PBE level of DFT.

Cell: 5.118 5.115 6.867 Å, 90.00 90.00 88.48°
Each line ends with the local moment (μB).
Positions (direct):
O (0.791, 0.210, 0.785)  -0.07
Hf (0.500, 0.500, 0.246)  0.00
Pu (0.000, 0.000, 0.000)  3.37
O (0.791, 0.210, 0.215)  -0.07
O (0.209, 0.790, 0.785)  -0.07
O (0.688, 0.689, 0.000)  -0.04
O (0.312, 0.311, 0.000)  -0.04
O (0.209, 0.790, 0.215)  -0.07
O (0.668, 0.668, 0.500)  -0.01
Ac (0.000, 0.000, 0.500)  0.00
Hf (0.500, 0.500, 0.754)  0.00
O (0.332, 0.332, 0.500)  -0.01

Calculated values
- symmetry = No. 65
- formation energy (no corrections) (eV/atom) = -3.1724
- total moment (μB/atom) = 0.250
- volume (Å³/f.u.) = 179.7

=====

What is the volume in the sixth record?
105.8 Å³/f.u.

=====

Which value of total moment does entry 6 give?
0.000 μB/atom

=====

Which of these has the highest total moment?
RbTlPN2